Computed, not measured: a relaxed Er3Al2ZnAgAu2 crystal at the PBE level of DFT.

Structure (extended XYZ):
```
9
Lattice="3.8958 0.0000 0.0000 0.0000 6.3974 3.7426 0.0000 -6.3974 3.7426" Properties=species:S:1:pos:R:3 pbc="T T T"
Er 0.0000 0.0000 0.0000
Er 0.0000 -2.5858 2.7856
Er 0.0000 2.5858 2.7856
Al 1.9479 -1.5998 5.3192
Al 1.9479 1.5998 5.3192
Zn 1.9479 0.0000 2.4241
Ag 0.0000 0.0000 4.3861
Au 1.9479 -4.2144 4.3164
Au 1.9479 4.2144 4.3164
```

Uncorrected energy   -37.61 eV for the cell shown